PBE Co2Mo, relaxed; energy of formation from the pure elements = 92.4 meV per atom; Fermi-level density of states = 2.83 states/eV/f.u.; V = 37.3 Å³/f.u.; total magnetic moment = 2.4 μB per cell
1.0
2.0395 -3.5325 0.0000
2.0395 3.5325 0.0000
0.0000 0.0000 2.5866
Co Mo
2 1
direct
0.6667 0.3333 0.0000
0.3333 0.6667 0.0000
0.0000 0.0000 0.5000